{"formula": "CoNiRh2", "functional": "PBE-GGA", "state": "optimized geometry", "delta_e_f_ev_per_atom": 0.26, "relative_energy_ev_per_atom": 0.208, "total_magnetization_mub_per_cell": 4.27, "crystal_system": "cubic", "rho_g_cm3": 10.17, "cell": [[4.212, 0.000, 0.000], [2.106, 3.647, 0.000], [2.106, 1.216, 3.439]], "species": ["Rh", "Rh", "Co", "Ni"], "frac_coords": [[0.250, 0.250, 0.250], [0.000, 0.000, 0.000], [0.500, 0.500, 0.500], [0.750, 0.750, 0.750]]}

=====

{"formula": "Hf6CoAu", "functional": "PBE-GGA", "state": "optimized geometry", "delta_e_f_ev_per_atom": -0.15, "total_magnetization_mub_per_cell": 0.00, "crystal_system": "triclinic", "rho_g_cm3": 13.83, "cell": [[-7.699, -0.956, -1.837], [-2.298, -1.686, -6.832], [-3.166, -3.957, -1.967]], "species": ["Au", "Hf", "Hf", "Hf", "Co", "Hf", "Hf", "Hf"], "frac_coords": [[0.500, 0.500, 0.500], [0.761, 0.981, 0.695], [0.981, 0.563, 0.216], [0.239, 0.019, 0.305], [0.000, 0.000, 0.000], [0.019, 0.437, 0.784], [0.437, 0.761, 0.822], [0.563, 0.239, 0.178]]}

=====

{"formula": "HoPu2Hg6", "functional": "PBE-GGA", "state": "optimized geometry", "delta_e_f_ev_per_atom": -0.22, "total_magnetization_mub_per_cell": 11.84, "crystal_system": "trigonal", "rho_g_cm3": 14.05, "cell": [[-3.784, 0.171, -4.705], [-3.882, -3.136, 3.404], [-1.931, 5.307, 2.142]], "species": ["Hg", "Pu", "Hg", "Hg", "Ho", "Hg", "Hg", "Pu", "Hg"], "frac_coords": [[0.165, 0.835, 0.500], [0.340, 0.340, 0.340], [0.165, 0.500, 0.835], [0.835, 0.500, 0.165], [0.000, 0.000, 0.000], [0.500, 0.835, 0.165], [0.500, 0.165, 0.835], [0.660, 0.660, 0.660], [0.835, 0.165, 0.500]]}

=====

{"formula": "CaSn2P2", "functional": "PBE-GGA", "state": "optimized geometry", "delta_e_f_ev_per_atom": -0.26, "total_magnetization_mub_per_cell": 0.00, "crystal_system": "tetragonal", "rho_g_cm3": 4.58, "cell": [[4.220, 0.000, 0.000], [0.000, 4.220, 0.000], [2.110, 2.110, 6.908]], "species": ["Sn", "P", "P", "Ca", "Sn"], "frac_coords": [[0.750, 0.250, 0.500], [0.578, 0.578, 0.843], [0.422, 0.422, 0.157], [0.000, 0.000, 0.000], [0.250, 0.750, 0.500]]}

=====

{"formula": "CsAl3Cl", "functional": "PBE-GGA", "state": "optimized geometry", "e_form_raw_ev_per_fu": 2.43, "relative_energy_ev_per_atom": 0.000, "total_magnetization_mub_per_cell": 0.00, "crystal_system": "cubic", "rho_g_cm3": 2.33, "cell": [[-0.330, 3.942, 3.991], [-5.468, 0.667, -1.111], [-1.253, -3.949, 3.796]], "species": ["Al", "Al", "Cl", "Al", "Cs"], "frac_coords": [[0.000, 0.500, 0.000], [0.500, 0.000, 0.000], [0.000, 0.000, 0.000], [0.000, 0.000, 0.500], [0.500, 0.500, 0.500]]}

=====

{"formula": "KAl2Ir", "functional": "PBE-GGA", "state": "optimized geometry", "delta_e_f_ev_per_atom": -0.13, "relative_energy_ev_per_atom": 0.075, "total_magnetization_mub_per_cell": 0.00, "crystal_system": "monoclinic", "rho_g_cm3": 5.14, "cell": [[4.400, 0.017, -0.009], [3.255, 2.961, -0.009], [0.939, 0.365, 7.104]], "species": ["Ir", "Al", "K", "Al"], "frac_coords": [[0.750, 0.750, 0.750], [0.472, 0.472, 0.607], [0.250, 0.250, 0.250], [0.028, 0.028, 0.893]]}

=====

{"formula": "ReH12Cl6", "functional": "PBE-GGA", "state": "optimized geometry", "total_magnetization_mub_per_cell": 3.00, "energy_ev_per_cell": -66.2, "crystal_system": "trigonal", "rho_g_cm3": 1.77, "cell": [[7.300, 1.096, 0.212], [0.236, 7.378, 0.212], [0.974, 1.096, 7.238]], "species": ["H", "Re", "Cl", "H", "H", "Cl", "Cl", "H", "Cl", "H", "Cl", "H", "Cl", "H", "H", "H", "H", "H", "H"], "frac_coords": [[0.875, 0.772, 0.778], [0.000, 0.000, 0.000], [0.137, 0.778, 0.799], [0.228, 0.222, 0.125], [0.541, 0.463, 0.007], [0.222, 0.201, 0.863], [0.201, 0.863, 0.222], [0.222, 0.125, 0.228], [0.863, 0.222, 0.201], [0.772, 0.778, 0.875], [0.778, 0.799, 0.137], [0.778, 0.875, 0.772], [0.799, 0.137, 0.778], [0.459, 0.537, 0.993], [0.007, 0.541, 0.463], [0.463, 0.007, 0.541], [0.537, 0.993, 0.459], [0.993, 0.459, 0.537], [0.125, 0.228, 0.222]]}

=====

{"formula": "Ti6IrPd3", "functional": "PBE-GGA", "state": "optimized geometry", "delta_e_f_ev_per_atom": -0.29, "total_magnetization_mub_per_cell": 0.00, "crystal_system": "monoclinic", "rho_g_cm3": 7.81, "cell": [[-4.290, -1.939, 1.340], [3.334, -7.174, 0.294], [2.094, 1.318, 8.414]], "species": ["Ti", "Ti", "Pd", "Pd", "Ti", "Ti", "Pd", "Pd", "Ti", "Ti", "Ir", "Pd", "Ti", "Ti", "Ti", "Pd", "Ti", "Ti", "Ir", "Ti"], "frac_coords": [[0.563, 0.183, 0.554], [0.121, 0.131, 0.754], [0.159, 0.586, 0.245], [0.500, 0.500, 0.000], [0.933, 0.671, 0.551], [0.879, 0.869, 0.246], [0.841, 0.414, 0.755], [0.000, 0.000, 0.500], [0.937, 0.683, 0.946], [0.567, 0.171, 0.949], [0.500, 0.500, 0.500], [0.341, 0.086, 0.255], [0.067, 0.329, 0.449], [0.433, 0.829, 0.051], [0.437, 0.817, 0.446], [0.659, 0.914, 0.745], [0.621, 0.369, 0.254], [0.379, 0.631, 0.746], [0.000, 0.000, 0.000], [0.063, 0.317, 0.054]]}

=====

{"formula": "PrY2HoTm5", "functional": "PBE-GGA", "state": "optimized geometry", "delta_e_f_ev_per_atom": 0.16, "total_magnetization_mub_per_cell": 0.00, "crystal_system": "orthorhombic", "rho_g_cm3": 7.65, "cell": [[-2.857, -0.553, 4.763], [7.217, -7.199, 0.222], [6.578, 6.740, 4.728]], "species": ["Tm", "Tm", "Y", "Pr", "Y", "Tm", "Y", "Tm", "Tm", "Ho", "Tm", "Tm", "Pr", "Ho", "Tm", "Y", "Tm", "Tm"], "frac_coords": [[0.298, 0.597, 0.710], [0.479, 0.958, 0.736], [0.889, 0.778, 0.233], [0.417, 0.835, 0.454], [0.887, 0.775, 0.819], [0.282, 0.564, 0.312], [0.113, 0.225, 0.319], [0.718, 0.436, 0.812], [0.019, 0.038, 0.026], [0.201, 0.403, 0.012], [0.702, 0.403, 0.210], [0.521, 0.042, 0.236], [0.583, 0.165, 0.954], [0.799, 0.597, 0.512], [0.981, 0.962, 0.526], [0.111, 0.222, 0.733], [0.388, 0.776, 0.021], [0.612, 0.224, 0.521]]}

=====

{"formula": "Sc2Mo2W", "functional": "PBE-GGA", "state": "optimized geometry", "delta_e_f_ev_per_atom": 0.27, "total_magnetization_mub_per_cell": 0.00, "crystal_system": "tetragonal", "rho_g_cm3": 7.88, "cell": [[-2.042, 1.706, 5.922], [-6.032, 0.725, -2.289], [-0.906, -4.464, 0.973]], "species": ["Sc", "Mo", "W", "Mo", "Mo", "W", "Sc", "Sc", "Mo", "Sc"], "frac_coords": [[0.674, 0.826, 0.500], [0.364, 0.864, 0.000], [0.500, 0.500, 0.000], [0.636, 0.136, 0.000], [0.136, 0.364, 0.000], [0.000, 0.000, 0.000], [0.826, 0.326, 0.500], [0.174, 0.674, 0.500], [0.864, 0.636, 0.000], [0.326, 0.174, 0.500]]}

=====

{"formula": "Tb3NdY2As6", "functional": "PBE-GGA", "state": "optimized geometry", "delta_e_f_ev_per_atom": -1.54, "total_magnetization_mub_per_cell": 0.00, "crystal_system": "monoclinic", "rho_g_cm3": 6.80, "cell": [[7.200, -0.001, 0.001], [-3.599, 6.236, 0.001], [-1.201, -2.079, 6.789]], "species": ["As", "As", "As", "As", "Y", "Tb", "Nd", "Tb", "As", "Y", "Tb", "As"], "frac_coords": [[0.084, 0.422, 0.253], [0.578, 0.916, 0.747], [0.746, 0.746, 0.252], [0.916, 0.578, 0.747], [0.667, 0.333, 0.000], [0.166, 0.834, 0.500], [0.000, 0.000, 0.000], [0.834, 0.166, 0.500], [0.422, 0.084, 0.253], [0.333, 0.667, 0.000], [0.500, 0.500, 0.500], [0.254, 0.254, 0.748]]}

=====

{"formula": "Tc2AsBr", "functional": "PBE-GGA", "state": "optimized geometry", "e_form_raw_ev_per_fu": 1.39, "relative_energy_ev_per_atom": 0.227, "total_magnetization_mub_per_cell": 0.00, "crystal_system": "monoclinic", "rho_g_cm3": 7.07, "cell": [[4.384, 0.021, 0.094], [3.258, 2.934, 0.094], [3.695, 1.429, 6.533]], "species": ["Br", "Tc", "Tc", "As"], "frac_coords": [[0.250, 0.250, 0.250], [0.530, 0.530, 0.597], [0.970, 0.970, 0.903], [0.750, 0.750, 0.750]]}